Below is RbPaTl2S4 after structural relaxation, with properties calculated at the PBE-GGA level.

Cell: 7.8127 4.2146 7.9281 Å, 90.00 110.65 90.00°
Space group P2/m (No. 10)
Inequivalent atoms, fractional coordinates:
Rb 0.0000 0.0000 0.0000 x1
Pa 0.0000 0.5000 0.5000 x1
Tl 0.5000 0.0000 0.5000 x1
Tl 0.5000 0.5000 0.0000 x1
S 0.2026 0.5000 0.3104 x2
S 0.2047 0.0000 0.6991 x2

Calculated values
ρ ... 5.80 g cm⁻³
Final energy ... -5.036 eV per atom
Formation energy from raw total energies ... -1073 meV/atom
Crystal system ... monoclinic
Total magnetization ... 0.0 μB per formula unit

=====

Below is Rb2PaTlS4 after structural relaxation, with properties calculated at the PBE-GGA level.

Cell: 7.8322 4.2406 7.9096 Å, 90.00 108.32 90.00°
Space group P2/m (No. 10)
Inequivalent atoms, fractional coordinates:
Rb 0.0000 0.0000 0.0000 x1
Rb 0.5000 0.5000 0.0000 x1
Pa 0.0000 0.5000 0.5000 x1
Tl 0.5000 0.0000 0.5000 x1
S 0.1957 0.0000 0.6908 x2
S 0.2064 0.5000 0.3057 x2

Calculated values
ρ ... 4.89 g cm⁻³
Final energy ... -5.071 eV per atom
Formation energy from raw total energies ... -1282 meV/atom
Crystal system ... monoclinic
Total magnetization ... 0.0 μB per formula unit

=====

Below is Rb4TmPa3S12 after structural relaxation, with properties calculated at the PBE-GGA level.

Cell: 10.5649 10.5649 10.5649 Å, 90.00 90.00 90.00°
Space group Im-3m (No. 229)
Inequivalent atoms, fractional coordinates:
Rb 0.2500 0.2500 0.2500 x8
Tm 0.0000 0.0000 0.0000 x2
Pa 0.0000 0.0000 0.5000 x6
S 0.0000 0.0000 0.2547 x12
S 0.0000 0.2500 0.5000 x12

Calculated values
ρ ... 4.47 g cm⁻³
Final energy ... -5.796 eV per atom
Formation energy from raw total energies ... -1478 meV/atom
Crystal system ... cubic
Total magnetization ... 0.0 μB per formula unit

=====

Below is RbTmPaS4 after structural relaxation, with properties calculated at the PBE-GGA level.

Cell: 8.3748 8.5867 11.8721 Å, 90.00 90.00 90.00°
Space group Imma (No. 74)
Inequivalent atoms, fractional coordinates:
Rb 0.0000 0.2500 0.1321 x4
Tm 0.2500 0.2500 0.7500 x4
Pa 0.0000 0.0000 0.5000 x4
S 0.0000 0.0459 0.7283 x8
S 0.2069 0.2500 0.5198 x8

Calculated values
ρ ... 4.77 g cm⁻³
Final energy ... -6.155 eV per atom
Formation energy from raw total energies ... -1662 meV/atom
Crystal system ... orthorhombic
Total magnetization ... 1.0 μB per formula unit

=====

Below is Rb4Tm3PaS8 after structural relaxation, with properties calculated at the PBE-GGA level.

Cell: 8.0858 8.0858 23.0773 Å, 90.00 90.00 120.00°
Space group R-3m (No. 166, hexagonal axes)
Inequivalent atoms, fractional coordinates:
Rb 0.0000 0.0000 0.0000 x3
Rb 0.0000 0.5000 0.0000 x9
Tm 0.0000 0.5000 0.5000 x9
Pa 0.0000 0.0000 0.5000 x3
S 0.0000 0.0000 0.2299 x6
S 0.0031 0.5015 0.7693 x18

Calculated values
ρ ... 5.09 g cm⁻³
Final energy ... -5.461 eV per atom
Formation energy from raw total energies ... -1724 meV/atom
Crystal system ... trigonal
Total magnetization ... 1.8 μB per formula unit

=====

Below is Rb2Tm2PaS6 after structural relaxation, with properties calculated at the PBE-GGA level.

Cell: 6.9303 12.0062 8.2123 Å, 90.00 106.48 90.00°
Space group C2/m (No. 12)
Inequivalent atoms, fractional coordinates:
Rb 0.0000 0.1676 0.0000 x4
Tm 0.0000 0.3336 0.5000 x4
Pa 0.0000 0.0000 0.5000 x2
S 0.2283 0.1675 0.6855 x8
S 0.2294 0.5000 0.6854 x4

Calculated values
ρ ... 4.72 g cm⁻³
Final energy ... -5.912 eV per atom
Formation energy from raw total energies ... -1808 meV/atom
Crystal system ... monoclinic
Total magnetization ... 1.1 μB per formula unit

=====

Look up the ρ of the fifth one.
5.09 g cm⁻³